A relaxed structure of Zr2BiP. Source: Alexandria, functional PBE-GGA.

```
Zr2BiP
1.0
-1.870 -3.359 -0.111
-0.008 -2.090 -3.228
5.123 -5.088 0.990
Bi P Zr
1 1 2
Cartesian
1.633 -5.275 -1.171
3.856 -8.712 -1.242
3.995 -4.446 0.578
0.505 -2.460 -0.699
```

Results
The value obtained for the calculated density is 7.9 Mg/m³. Its space group is No. 160. The total magnetic moment is 0.0 μB/cell. The formation energy is -939 meV/atom. Its density of states at the Fermi level is 0.0761 states/eV/atom.